DFT (PBE) results for an optimized crystal structure of Al2IrOs.

Cell: 2.763 2.763 7.816 Å, 90.00 90.00 90.00°
Sites, in units of the cell vectors:
Ir (0.000, 0.000, 0.505)
Os (0.500, 0.500, 0.744)
Al (0.000, 0.000, 0.980)
Al (0.500, 0.500, 0.271)

Output
Calculated formation energy   -188.8 meV/atom
Final energy   -7.08 eV per atom
ΔE to the lowest computed polymorph   516 meV/atom